[1]
## SmB4Ru (GGA-PBE)

Data for SmB4Ru after structural relaxation.

Values from the calculation:
As for the space-group type: Pbam (55). Its total magnetization is 0.00 μB/atom. The calculated total energy comes out at -7.35 eV per atom. Its calculated formation energy is -569 meV per atom.

Cell lengths 6.0227, 11.6534, 3.6102 Å; angles 90.00, 90.00, 90.00 degrees
Sites, in units of the cell vectors:
Sm  0.1274  0.1501  0.0000
Sm  0.3726  0.6501  0.0000
Sm  0.6274  0.3499  0.0000
Sm  0.8726  0.8499  0.0000
B  0.0247  0.6901  0.5000
B  0.1109  0.5458  0.5000
B  0.1381  0.9693  0.5000
B  0.2149  0.8154  0.5000
B  0.2851  0.3154  0.5000
B  0.3619  0.4693  0.5000
B  0.3891  0.0458  0.5000
B  0.4753  0.1901  0.5000
B  0.5247  0.8099  0.5000
B  0.6109  0.9542  0.5000
B  0.6381  0.5307  0.5000
B  0.7149  0.6846  0.5000
B  0.7851  0.1846  0.5000
B  0.8619  0.0307  0.5000
B  0.8891  0.4542  0.5000
B  0.9753  0.3099  0.5000
Ru  0.1391  0.4080  0.0000
Ru  0.3609  0.9080  0.0000
Ru  0.6391  0.0920  0.0000
Ru  0.8609  0.5920  0.0000

=====

[2]
## SmBRu2 (GGA-PBE)

Data for SmBRu2 after structural relaxation.

Values from the calculation:
As for the space-group type: R-3m (166). Its total magnetization is 0.00 μB/atom. The calculated total energy comes out at -7.48 eV per atom. Its calculated formation energy is 5 meV per atom.

Cell lengths 3.3959, 3.3959, 19.7855 Å; angles 90.00, 90.00, 120.00 degrees
Sites, in units of the cell vectors:
Sm  0.0000  0.0000  0.0000
Sm  0.3333  0.6667  0.6667
Sm  0.6667  0.3333  0.3333
B  0.0000  0.0000  0.5000
B  0.3333  0.6667  0.1667
B  0.6667  0.3333  0.8333
Ru  0.0000  0.0000  0.2149
Ru  0.0000  0.0000  0.7851
Ru  0.3333  0.6667  0.4518
Ru  0.3333  0.6667  0.8815
Ru  0.6667  0.3333  0.1185
Ru  0.6667  0.3333  0.5482

=====

[3]
## SmB4Ru (GGA-PBE)

Data for SmB4Ru after structural relaxation.

Values from the calculation:
As for the space-group type: Immm (71). Its total magnetization is 0.03 μB/atom. The calculated total energy comes out at -6.90 eV per atom. Its calculated formation energy is -117 meV per atom.

Cell lengths 3.1885, 5.3804, 7.4533 Å; angles 90.00, 90.00, 90.00 degrees
Sites, in units of the cell vectors:
Sm  0.0000  0.0000  0.0000
Sm  0.5000  0.5000  0.5000
B  0.0000  0.3351  0.2489
B  0.0000  0.3351  0.7511
B  0.0000  0.6649  0.2489
B  0.0000  0.6649  0.7511
B  0.5000  0.1649  0.2511
B  0.5000  0.1649  0.7489
B  0.5000  0.8351  0.2511
B  0.5000  0.8351  0.7489
Ru  0.0000  0.0000  0.5000
Ru  0.5000  0.5000  0.0000

=====

[4]
## Sm3Sn2BRu3 (GGA-PBE)

Data for Sm3Sn2BRu3 after structural relaxation.

Values from the calculation:
As for the space-group type: P-62m (189). Its total magnetization is 0.00 μB/atom. The calculated total energy comes out at -6.64 eV per atom. Its calculated formation energy is -348 meV per atom.

Cell lengths 7.6319, 7.6319, 3.6466 Å; angles 90.00, 90.00, 120.00 degrees
Sites, in units of the cell vectors:
Sm  0.0000  0.3502  0.0000
Sm  0.3502  0.0000  0.0000
Sm  0.6498  0.6498  0.0000
Sn  0.3333  0.6667  0.5000
Sn  0.6667  0.3333  0.5000
B  0.0000  0.0000  0.0000
Ru  0.0000  0.7890  0.5000
Ru  0.2110  0.2110  0.5000
Ru  0.7890  0.0000  0.5000

=====

[5]
## Sm2ZnB2Ru5 (GGA-PBE)

Data for Sm2ZnB2Ru5 after structural relaxation.

Values from the calculation:
As for the space-group type: P4/mbm (127). Its total magnetization is 0.00 μB/atom. The calculated total energy comes out at -7.31 eV per atom. Its calculated formation energy is -269 meV per atom.

Cell lengths 9.6742, 9.6742, 3.1516 Å; angles 90.00, 90.00, 90.00 degrees
Sites, in units of the cell vectors:
Sm  0.1762  0.3238  0.0000
Sm  0.3238  0.8238  0.0000
Sm  0.6762  0.1762  0.0000
Sm  0.8238  0.6762  0.0000
Zn  0.0000  0.0000  0.0000
Zn  0.5000  0.5000  0.0000
B  0.1236  0.6236  0.0000
B  0.3764  0.1236  0.0000
B  0.6236  0.8764  0.0000
B  0.8764  0.3764  0.0000
Ru  0.0000  0.5000  0.5000
Ru  0.0699  0.7793  0.5000
Ru  0.2207  0.0699  0.5000
Ru  0.2793  0.5699  0.5000
Ru  0.4301  0.2793  0.5000
Ru  0.5000  0.0000  0.5000
Ru  0.5699  0.7207  0.5000
Ru  0.7207  0.4301  0.5000
Ru  0.7793  0.9301  0.5000
Ru  0.9301  0.2207  0.5000

=====

[6]
## SnBRu2 (GGA-PBE)

Data for SnBRu2 after structural relaxation.

Values from the calculation:
As for the space-group type: I-42d (122). Its total magnetization is 0.00 μB/atom. The calculated total energy comes out at -7.23 eV per atom. Its calculated formation energy is 78 meV per atom.

Cell lengths 6.6799, 6.6799, 5.1943 Å; angles 90.00, 90.00, 90.00 degrees
Sites, in units of the cell vectors:
Sn  0.0000  0.0000  0.0000
Sn  0.0000  0.5000  0.2500
Sn  0.5000  0.0000  0.7500
Sn  0.5000  0.5000  0.5000
B  0.0000  0.0000  0.5000
B  0.0000  0.5000  0.7500
B  0.5000  0.0000  0.2500
B  0.5000  0.5000  0.0000
Ru  0.1572  0.2500  0.6250
Ru  0.2500  0.6572  0.8750
Ru  0.2500  0.8428  0.3750
Ru  0.3428  0.2500  0.1250
Ru  0.6572  0.7500  0.1250
Ru  0.7500  0.1572  0.3750
Ru  0.7500  0.3428  0.8750
Ru  0.8428  0.7500  0.6250